No. 1
DFT (PBE) results for a relaxed structure of MgZr2Tc.

```
data_MgZr2Tc
_chemical_formula_sum 'Mg1 Zr2 Tc1'
_symmetry_space_group_name_H-M 'P 4/m m m'
_symmetry_Int_Tables_number 123
_symmetry_space_group_name_Hall '-P 4 2'
_cell_length_a 3.369
_cell_length_b 3.369
_cell_length_c 7.056
_cell_angle_alpha 90.00
_cell_angle_beta 90.00
_cell_angle_gamma 90.00
loop_
_atom_site_label
_atom_site_fract_x
_atom_site_fract_y
_atom_site_fract_z
_atom_site_occupancy
Mg1 0.000 0.000 0.000 1
Zr1 0.500 0.500 0.278 1
Tc1 0.000 0.000 0.500 1
```

No. 2
DFT (PBE) results for a relaxed structure of Mg2ZrTc.

```
data_Mg2ZrTc
_chemical_formula_sum 'Mg4 Zr2 Tc2'
_symmetry_space_group_name_H-M 'C m m m'
_symmetry_Int_Tables_number 65
_symmetry_space_group_name_Hall '-C 2 2'
_cell_length_a 3.349
_cell_length_b 4.544
_cell_length_c 9.911
_cell_angle_alpha 90.00
_cell_angle_beta 90.00
_cell_angle_gamma 90.00
loop_
_atom_site_label
_atom_site_fract_x
_atom_site_fract_y
_atom_site_fract_z
_atom_site_occupancy
Mg1 0.000 0.000 0.223 1
Zr1 0.000 0.500 0.500 1
Tc1 0.000 0.500 0.000 1
```

No. 3
DFT (PBE) results for a relaxed structure of MgZr2Tc.

```
data_MgZr2Tc
_chemical_formula_sum 'Mg4 Zr8 Tc4'
_symmetry_space_group_name_H-M 'I -4 2 d'
_symmetry_Int_Tables_number 122
_symmetry_space_group_name_Hall 'I -4 2bw'
_cell_length_a 7.666
_cell_length_b 7.666
_cell_length_c 5.799
_cell_angle_alpha 90.00
_cell_angle_beta 90.00
_cell_angle_gamma 90.00
loop_
_atom_site_label
_atom_site_fract_x
_atom_site_fract_y
_atom_site_fract_z
_atom_site_occupancy
Mg1 0.000 0.000 0.000 1
Zr1 0.210 0.250 0.625 1
Tc1 0.000 0.000 0.500 1
```

no.,VASP energy (eV/atom),formation energy (eV per atom)
1,-7.452,-0.188
2,-5.317,0.209
3,-6.956,0.308